The following is a DFT calculation (GGA+U) of crystalline CoH24C2S2N6O14 at its relaxed geometry.

Values from the calculation:
DOS at the Fermi energy = 0.00 states/eV/f.u.
Total magnetic moment = 0.061 μB/atom
Raw total energy = -5.596 eV/atom

a b c (Å): 10.5369 7.6150 12.0474
angles (deg): 90.00 96.50 90.00
Space group P2_1/c (No. 14)
Inequivalent atoms, fractional coordinates:
Co 0.0000 0.0000 0.0000 [2 per cell]
H 0.0111 0.1609 0.4587 [4 per cell]
H 0.0135 0.0072 0.2319 [4 per cell]
H 0.0659 0.1604 0.8179 [4 per cell]
H 0.1063 0.6849 0.9663 [4 per cell]
H 0.2265 0.0471 0.1277 [4 per cell]
H 0.2339 0.1370 0.0098 [4 per cell]
H 0.3302 0.6824 0.0834 [4 per cell]
H 0.3379 0.6656 0.3755 [4 per cell]
H 0.3426 0.6882 0.7054 [4 per cell]
H 0.3672 0.1184 0.5941 [4 per cell]
H 0.3686 0.0587 0.8837 [4 per cell]
H 0.3699 0.2232 0.7229 [4 per cell]
C 0.3659 0.5464 0.2291 [4 per cell]
S 0.2460 0.0586 0.3702 [4 per cell]
N 0.3526 0.6930 0.1678 [4 per cell]
N 0.3744 0.5564 0.3412 [4 per cell]
N 0.3766 0.1090 0.6794 [4 per cell]
O 0.0216 0.7305 0.9816 [4 per cell]
O 0.0435 0.0375 0.8331 [4 per cell]
O 0.1076 0.1092 0.3433 [4 per cell]
O 0.1997 0.0336 0.0466 [4 per cell]
O 0.2536 0.6133 0.9304 [4 per cell]
O 0.3060 0.0428 0.2644 [4 per cell]
O 0.3133 0.1974 0.4421 [4 per cell]